No. 1
Compound: HfHO2F
Source: the Alexandria database
Functional: PBE
Structure: optimized geometry

Computed properties:
The space group is No. 123. The total DFT energy (no corrections) comes out at -6.860 eV per atom. As for the density of states at the Fermi level: 1.32 states/eV per cell.

Lattice parameters (Å, degrees): 4.0838 4.0838 4.1626 90.00 90.00 90.00
Last column: nearest neighbours and their distance in Å.
Sites, in units of the cell vectors:
H 0.5000 0.5000 0.5000  4 F 2.89, 8 O 2.92
Hf 0.0000 0.0000 0.0000  4 O 2.04, 2 F 2.08
O 0.0000 0.5000 0.0000  2 Hf 2.04
O 0.5000 0.0000 0.0000  2 Hf 2.04
F 0.0000 0.0000 0.5000  2 Hf 2.08

No. 2
Compound: HfHOF2
Source: the Alexandria database
Functional: PBE
Structure: optimized geometry

Computed properties:
The space group is No. 123. As for the excess energy over the best structure of this formula in the dataset: 753 meV/atom. As for the density of states at the Fermi level: 1.28 states/eV per cell.

Lattice parameters (Å, degrees): 3.1527 3.1527 4.2878 90.00 90.00 90.00
Last column: nearest neighbours and their distance in Å.
Sites, in units of the cell vectors:
H 0.0000 0.0000 0.0000  4 F 1.58
Hf 0.5000 0.5000 0.5000  4 O 2.23
O 0.0000 0.0000 0.5000  2 H 2.14, 4 Hf 2.23
F 0.0000 0.5000 0.0000  2 H 1.58
F 0.5000 0.0000 0.0000  2 H 1.58

No. 3
Compound: HfPH2F
Source: the Alexandria database
Functional: PBE
Structure: optimized geometry

Computed properties:
The space group is No. 123. The total DFT energy (no corrections) comes out at -5.201 eV per atom. As for the density of states at the Fermi level: 2.46 states/eV per cell.

Lattice parameters (Å, degrees): 3.3939 5.1076 3.3939 90.00 90.00 90.00
Last column: nearest neighbours and their distance in Å.
Sites, in units of the cell vectors:
P 0.0000 0.0000 0.0000  4 H 1.70
Hf 0.0000 0.5000 0.0000  4 F 2.40, 2 P 2.55
H 0.0000 0.0000 0.5000  2 P 1.70
H 0.5000 0.0000 0.0000  2 P 1.70
F 0.5000 0.5000 0.5000  4 Hf 2.40

Repeat the first record exactly.
Compound: HfHO2F
Source: the Alexandria database
Functional: PBE
Structure: optimized geometry

Computed properties:
The space group is No. 123. The total DFT energy (no corrections) comes out at -6.860 eV per atom. As for the density of states at the Fermi level: 1.32 states/eV per cell.

Lattice parameters (Å, degrees): 4.0838 4.0838 4.1626 90.00 90.00 90.00
Last column: nearest neighbours and their distance in Å.
Sites, in units of the cell vectors:
H 0.5000 0.5000 0.5000  4 F 2.89, 8 O 2.92
Hf 0.0000 0.0000 0.0000  4 O 2.04, 2 F 2.08
O 0.0000 0.5000 0.0000  2 Hf 2.04
O 0.5000 0.0000 0.0000  2 Hf 2.04
F 0.0000 0.0000 0.5000  2 Hf 2.08